First-principles (PBE) data for Cs2Te3Au after structural relaxation, as listed in Alexandria via LeMat-Bulk.

a b c (Å): 7.8731 7.8731 13.6330
angles (deg): 90.00 90.00 120.00
Space group P-3m1 (No. 164)
Inequivalent atoms, fractional coordinates:
Cs  0.0000  0.0000  0.0000 [1 per cell]
Cs  0.0000  0.0000  0.5000 [1 per cell]
Cs  0.3333  0.6667  0.2446 [2 per cell]
Te  0.1394  0.2787  0.7506 [6 per cell]
Au  0.3333  0.6667  0.7524 [2 per cell]

Values from the calculation:
Total energy: -2.8975 eV per atom
Energy above the most stable polymorph in this dataset: 0.119 eV per atom

First-principles (PBE) data for Er7Tl2Co2 after structural relaxation, as listed in Alexandria via LeMat-Bulk.

a b c (Å): 7.817 10.871 6.980
angles (deg): 90.00 90.00 90.00
Space group Cmmm (No. 65)
Inequivalent atoms, fractional coordinates:
Er  0.000  0.000  0.000 [2 per cell]
Er  0.000  0.500  0.229 [4 per cell]
Er  0.250  0.250  0.240 [8 per cell]
Tl  0.185  0.000  0.500 [4 per cell]
Co  0.000  0.292  0.000 [4 per cell]

Values from the calculation:
Formation energy: -0.149 eV/atom
Total energy: -4.7748 eV per atom